First-principles (PBE-GGA) data for a relaxed CuTeI crystal, as listed in Alexandria.

Results
M_tot: 0.0 Bohr magnetons per cell
Crystal system: trigonal
Energy relative to the elements, uncorrected: 0.09 eV per atom

Cell: 3.9973 3.9973 5.7178 Å, 90.00 90.00 120.00°
Fractional coordinates of all 3 atoms:
Cu (0.0000, 0.0000, 0.0000)
Te (0.3333, 0.6667, 0.7668)
I (0.6667, 0.3333, 0.2956)